[1]
The following is a PBE-GGA calculation of an optimized crystal structure of Tm4Mg3Ag, from the Alexandria database.

formation energy	-0.12	eV/atom
DFT total energy	-3.31	eV per atom
calculated volume	204	Å³ per cell
space-group type	P4/mmm, No. 123
DOS(E_F)	1.107	states/eV per atom

a = 3.700 Å, b = 3.700 Å, c = 14.891 Å
α = 90.00°, β = 90.00°, γ = 90.00°
Element x y z (fractional)
Tm 0.000 0.000 0.116
Tm 0.000 0.000 0.371
Tm 0.000 0.000 0.629
Tm 0.000 0.000 0.884
Mg 0.500 0.500 0.246
Mg 0.500 0.500 0.500
Mg 0.500 0.500 0.754
Ag 0.500 0.500 0.000

***

[2]
The following is a PBE-GGA calculation of an optimized crystal structure of Tm4Mg5Ag, from the Alexandria database.

formation energy	-0.08	eV/atom
DFT total energy	-2.95	eV per atom
calculated volume	248	Å³ per cell
space-group type	P4/mmm, No. 123
DOS(E_F)	1.073	states/eV per atom

a = 3.647 Å, b = 3.647 Å, c = 18.678 Å
α = 90.00°, β = 90.00°, γ = 90.00°
Element x y z (fractional)
Tm 0.000 0.000 0.105
Tm 0.000 0.000 0.308
Tm 0.000 0.000 0.692
Tm 0.000 0.000 0.895
Mg 0.500 0.500 0.000
Mg 0.500 0.500 0.207
Mg 0.500 0.500 0.419
Mg 0.500 0.500 0.581
Mg 0.500 0.500 0.793
Ag 0.000 0.000 0.500